# KCu3O (PBE, relaxed)
data_KCu3O
_chemical_formula_sum 'K1 Cu3 O1'
_cell_length_a 4.983
_cell_length_b 4.983
_cell_length_c 4.983
_cell_angle_alpha 90.00
_cell_angle_beta 90.00
_cell_angle_gamma 90.00
_symmetry_space_group_name_H-M 'P 1'
_symmetry_Int_Tables_number 1
_symmetry_space_group_name_Hall 'P 1'
loop_
_atom_site_label
_atom_site_type_symbol
_atom_site_fract_x
_atom_site_fract_y
_atom_site_fract_z
K1 K 0.000 0.000 0.000
Cu1 Cu 0.000 0.000 0.500
Cu2 Cu 0.000 0.500 0.000
Cu3 Cu 0.500 0.000 0.000
O1 O 0.500 0.500 0.500
# * uncorrected formation energy: 2.08 eV/atom
# * excess energy over the best structure of this formula in the dataset: 1819.4 meV per atom
# * symmetry: Pm-3m



# KCu2O4 (PBE, relaxed)
data_KCu2O4
_chemical_formula_sum 'K2 Cu4 O8'
_cell_length_a 5.553
_cell_length_b 5.553
_cell_length_c 8.410
_cell_angle_alpha 109.27
_cell_angle_beta 109.26
_cell_angle_gamma 90.01
_symmetry_space_group_name_H-M 'P 1'
_symmetry_Int_Tables_number 1
_symmetry_space_group_name_Hall 'P 1'
loop_
_atom_site_label
_atom_site_type_symbol
_atom_site_fract_x
_atom_site_fract_y
_atom_site_fract_z
O1 O 0.945 0.481 0.251
O2 O 0.234 0.698 0.750
O3 O 0.234 0.270 0.750
O4 O 0.517 0.980 0.250
O5 O 0.944 0.980 0.250
O6 O 0.733 0.270 0.749
O7 O 0.733 0.697 0.749
O8 O 0.518 0.481 0.251
K1 K 0.356 0.858 0.500
K2 K 0.106 0.108 0.000
Cu1 Cu 0.734 0.233 0.257
Cu2 Cu 0.981 0.481 0.743
Cu3 Cu 0.728 0.727 0.245
Cu4 Cu 0.487 0.487 0.755
# * uncorrected formation energy: -0.65 eV/atom
# * symmetry: C2



# K2CuO2 (PBE, relaxed)
data_K2CuO2
_chemical_formula_sum 'K2 Cu1 O2'
_cell_length_a 5.386
_cell_length_b 5.386
_cell_length_c 5.569
_cell_angle_alpha 61.08
_cell_angle_beta 61.08
_cell_angle_gamma 90.00
_symmetry_space_group_name_H-M 'P 1'
_symmetry_Int_Tables_number 1
_symmetry_space_group_name_Hall 'P 1'
loop_
_atom_site_label
_atom_site_type_symbol
_atom_site_fract_x
_atom_site_fract_y
_atom_site_fract_z
O1 O 0.416 0.416 0.168
O2 O 0.584 0.584 0.832
Cu1 Cu 0.000 0.000 0.000
K1 K 0.750 0.250 0.500
K2 K 0.250 0.750 0.500
# * uncorrected formation energy: -0.21 eV/atom
# * symmetry: I4/mmm



# K3CuO2 (PBE, relaxed)
data_K3CuO2
_chemical_formula_sum 'K24 Cu8 O16'
_cell_length_a 8.679
_cell_length_b 8.679
_cell_length_c 13.497
_cell_angle_alpha 90.00
_cell_angle_beta 90.00
_cell_angle_gamma 90.00
_symmetry_space_group_name_H-M 'P 1'
_symmetry_Int_Tables_number 1
_symmetry_space_group_name_Hall 'P 1'
loop_
_atom_site_label
_atom_site_type_symbol
_atom_site_fract_x
_atom_site_fract_y
_atom_site_fract_z
K1 K 0.564 0.034 0.251
K2 K 0.466 0.064 0.501
K3 K 0.943 0.943 0.000
K4 K 0.843 0.734 0.392
K5 K 0.936 0.534 0.999
K6 K 0.734 0.843 0.608
K7 K 0.443 0.557 0.750
K8 K 0.475 0.475 0.500
K9 K 0.975 0.025 0.250
K10 K 0.064 0.466 0.499
K11 K 0.436 0.966 0.751
K12 K 0.157 0.266 0.892
K13 K 0.343 0.766 0.358
K14 K 0.557 0.443 0.250
K15 K 0.534 0.936 0.001
K16 K 0.266 0.157 0.108
K17 K 0.657 0.234 0.858
K18 K 0.966 0.436 0.249
K19 K 0.766 0.343 0.642
K20 K 0.057 0.057 0.500
K21 K 0.234 0.657 0.142
K22 K 0.525 0.525 0.000
K23 K 0.034 0.564 0.749
K24 K 0.025 0.975 0.750
O1 O 0.444 0.768 0.579
O2 O 0.736 0.525 0.834
O3 O 0.768 0.444 0.421
O4 O 0.264 0.475 0.334
O5 O 0.025 0.764 0.584
O6 O 0.525 0.736 0.166
O7 O 0.975 0.236 0.084
O8 O 0.268 0.056 0.329
O9 O 0.732 0.944 0.829
O10 O 0.475 0.264 0.666
O11 O 0.944 0.732 0.171
O12 O 0.232 0.556 0.921
O13 O 0.764 0.025 0.416
O14 O 0.556 0.232 0.079
O15 O 0.236 0.975 0.916
O16 O 0.056 0.268 0.671
Cu1 Cu 0.266 0.264 0.666
Cu2 Cu 0.234 0.764 0.584
Cu3 Cu 0.264 0.266 0.334
Cu4 Cu 0.736 0.734 0.834
Cu5 Cu 0.734 0.736 0.166
Cu6 Cu 0.766 0.236 0.084
Cu7 Cu 0.764 0.234 0.416
Cu8 Cu 0.236 0.766 0.916
# * uncorrected formation energy: -1.07 eV/atom
# * symmetry: P4_12_12



# K5Cu2O5 (PBE, relaxed)
data_K5Cu2O5
_chemical_formula_sum 'K5 Cu2 O5'
_cell_length_a 3.582
_cell_length_b 6.435
_cell_length_c 9.376
_cell_angle_alpha 98.74
_cell_angle_beta 90.00
_cell_angle_gamma 106.16
_symmetry_space_group_name_H-M 'P 1'
_symmetry_Int_Tables_number 1
_symmetry_space_group_name_Hall 'P 1'
loop_
_atom_site_label
_atom_site_type_symbol
_atom_site_fract_x
_atom_site_fract_y
_atom_site_fract_z
O1 O 0.000 0.000 0.000
O2 O 0.112 0.225 0.343
O3 O 0.402 0.804 0.221
O4 O 0.598 0.196 0.779
O5 O 0.888 0.775 0.657
K1 K 0.642 0.284 0.067
K2 K 0.224 0.448 0.637
K3 K 0.500 0.000 0.500
K4 K 0.776 0.552 0.363
K5 K 0.358 0.716 0.933
Cu1 Cu 0.020 0.039 0.793
Cu2 Cu 0.980 0.961 0.207
# * uncorrected formation energy: -0.89 eV/atom
# * symmetry: C2/m



# K12Cu3O5 (PBE, relaxed)
data_K12Cu3O5
_chemical_formula_sum 'K48 Cu12 O20'
_cell_length_a 14.960
_cell_length_b 14.960
_cell_length_c 14.960
_cell_angle_alpha 109.47
_cell_angle_beta 109.47
_cell_angle_gamma 109.47
_symmetry_space_group_name_H-M 'P 1'
_symmetry_Int_Tables_number 1
_symmetry_space_group_name_Hall 'P 1'
loop_
_atom_site_label
_atom_site_type_symbol
_atom_site_fract_x
_atom_site_fract_y
_atom_site_fract_z
K1 K 0.419 0.309 0.319
K2 K 0.011 0.610 0.691
K3 K 0.819 0.919 0.309
K4 K 0.511 0.191 0.110
K5 K 0.919 0.819 0.809
K6 K 0.011 0.401 0.819
K7 K 0.610 0.599 0.919
K8 K 0.681 0.489 0.599
K9 K 0.419 0.110 0.599
K10 K 0.901 0.819 0.511
K11 K 0.081 0.181 0.191
K12 K 0.890 0.581 0.901
K13 K 0.181 0.081 0.691
K14 K 0.191 0.511 0.610
K15 K 0.989 0.390 0.309
K16 K 0.309 0.419 0.819
K17 K 0.110 0.419 0.099
K18 K 0.081 0.901 0.390
K19 K 0.599 0.989 0.681
K20 K 0.989 0.599 0.181
K21 K 0.819 0.901 0.011
K22 K 0.099 0.181 0.489
K23 K 0.691 0.110 0.011
K24 K 0.319 0.511 0.401
K25 K 0.390 0.989 0.809
K26 K 0.309 0.890 0.989
K27 K 0.390 0.401 0.081
K28 K 0.401 0.011 0.319
K29 K 0.809 0.319 0.919
K30 K 0.511 0.319 0.901
K31 K 0.809 0.489 0.390
K32 K 0.110 0.691 0.511
K33 K 0.610 0.011 0.191
K34 K 0.489 0.681 0.099
K35 K 0.191 0.681 0.081
K36 K 0.691 0.581 0.181
K37 K 0.681 0.191 0.581
K38 K 0.890 0.309 0.489
K39 K 0.099 0.919 0.110
K40 K 0.489 0.809 0.890
K41 K 0.181 0.099 0.989
K42 K 0.581 0.890 0.401
K43 K 0.581 0.691 0.681
K44 K 0.599 0.610 0.419
K45 K 0.901 0.081 0.890
K46 K 0.919 0.099 0.610
K47 K 0.319 0.809 0.419
K48 K 0.401 0.390 0.581
Cu1 Cu 0.875 0.750 0.125
Cu2 Cu 0.250 0.125 0.375
Cu3 Cu 0.625 0.250 0.375
Cu4 Cu 0.125 0.250 0.875
Cu5 Cu 0.625 0.375 0.750
Cu6 Cu 0.750 0.375 0.125
Cu7 Cu 0.250 0.625 0.875
Cu8 Cu 0.375 0.750 0.625
Cu9 Cu 0.125 0.875 0.750
Cu10 Cu 0.750 0.875 0.625
Cu11 Cu 0.875 0.125 0.250
Cu12 Cu 0.375 0.625 0.250
O1 O 0.375 0.250 0.125
O2 O 0.000 0.000 0.000
O3 O 0.250 0.375 0.625
O4 O 0.000 0.500 0.000
O5 O 0.000 0.000 0.500
O6 O 0.625 0.750 0.875
O7 O 0.000 0.500 0.500
O8 O 0.375 0.125 0.750
O9 O 0.125 0.375 0.250
O10 O 0.875 0.625 0.750
O11 O 0.500 0.500 0.000
O12 O 0.125 0.750 0.375
O13 O 0.875 0.250 0.625
O14 O 0.750 0.125 0.875
O15 O 0.500 0.000 0.000
O16 O 0.500 0.500 0.500
O17 O 0.500 0.000 0.500
O18 O 0.250 0.875 0.125
O19 O 0.750 0.625 0.375
O20 O 0.625 0.875 0.250
# * uncorrected formation energy: -0.52 eV/atom
# * symmetry: Ia-3d



# KCuO4 (PBE, relaxed)
data_KCuO4
_chemical_formula_sum 'K2 Cu2 O8'
_cell_length_a 5.459
_cell_length_b 8.132
_cell_length_c 7.407
_cell_angle_alpha 107.79
_cell_angle_beta 90.34
_cell_angle_gamma 131.33
_symmetry_space_group_name_H-M 'P 1'
_symmetry_Int_Tables_number 1
_symmetry_space_group_name_Hall 'P 1'
loop_
_atom_site_label
_atom_site_type_symbol
_atom_site_fract_x
_atom_site_fract_y
_atom_site_fract_z
O1 O 0.848 0.674 0.000
O2 O 0.303 0.300 0.499
O3 O 0.848 0.174 0.000
O4 O 0.152 0.326 0.000
O5 O 0.196 0.700 0.499
O6 O 0.152 0.826 0.000
O7 O 0.804 0.300 0.501
O8 O 0.697 0.700 0.501
K1 K 0.357 0.107 0.715
K2 K 0.643 0.893 0.285
Cu1 Cu 0.746 0.496 0.493
Cu2 Cu 0.254 0.504 0.507
# * uncorrected formation energy: -0.65 eV/atom
# * symmetry: C2/c



# K2CuO2 (PBE, relaxed)
data_K2CuO2
_chemical_formula_sum 'K2 Cu1 O2'
_cell_length_a 3.958
_cell_length_b 3.958
_cell_length_c 7.113
_cell_angle_alpha 106.15
_cell_angle_beta 106.15
_cell_angle_gamma 90.00
_symmetry_space_group_name_H-M 'P 1'
_symmetry_Int_Tables_number 1
_symmetry_space_group_name_Hall 'P 1'
loop_
_atom_site_label
_atom_site_type_symbol
_atom_site_fract_x
_atom_site_fract_y
_atom_site_fract_z
K1 K 0.343 0.343 0.685
K2 K 0.657 0.657 0.315
O1 O 0.866 0.866 0.733
O2 O 0.134 0.134 0.267
Cu1 Cu 0.000 0.000 0.000
# * uncorrected formation energy: -1.06 eV/atom
# * symmetry: I4/mmm



# K2CuO2 (PBE, relaxed)
data_K2CuO2
_chemical_formula_sum 'K2 Cu1 O2'
_cell_length_a 5.786
_cell_length_b 5.786
_cell_length_c 5.786
_cell_angle_alpha 136.79
_cell_angle_beta 136.79
_cell_angle_gamma 62.76
_symmetry_space_group_name_H-M 'P 1'
_symmetry_Int_Tables_number 1
_symmetry_space_group_name_Hall 'P 1'
loop_
_atom_site_label
_atom_site_type_symbol
_atom_site_fract_x
_atom_site_fract_y
_atom_site_fract_z
K1 K 0.250 0.750 0.500
K2 K 0.750 0.250 0.500
O1 O 0.000 0.500 0.500
O2 O 0.500 0.000 0.500
Cu1 Cu 0.000 0.000 0.000
# * uncorrected formation energy: -0.28 eV/atom
# * symmetry: I4/mmm



# K3Cu2O3 (PBE, relaxed)
data_K3Cu2O3
_chemical_formula_sum 'K6 Cu4 O6'
_cell_length_a 3.305
_cell_length_b 6.527
_cell_length_c 14.925
_cell_angle_alpha 90.00
_cell_angle_beta 90.00
_cell_angle_gamma 104.67
_symmetry_space_group_name_H-M 'P 1'
_symmetry_Int_Tables_number 1
_symmetry_space_group_name_Hall 'P 1'
loop_
_atom_site_label
_atom_site_type_symbol
_atom_site_fract_x
_atom_site_fract_y
_atom_site_fract_z
Cu1 Cu 0.199 0.398 0.043
Cu2 Cu 0.199 0.398 0.457
Cu3 Cu 0.801 0.602 0.543
Cu4 Cu 0.801 0.602 0.957
K1 K 0.264 0.529 0.750
K2 K 0.968 0.935 0.128
K3 K 0.032 0.065 0.628
K4 K 0.736 0.471 0.250
K5 K 0.032 0.065 0.872
K6 K 0.968 0.935 0.372
O1 O 0.645 0.290 0.422
O2 O 0.397 0.794 0.250
O3 O 0.603 0.206 0.750
O4 O 0.355 0.710 0.922
O5 O 0.645 0.290 0.078
O6 O 0.355 0.710 0.578
# * uncorrected formation energy: -0.83 eV/atom
# * symmetry: Cmcm



# K2CuO2 (PBE, relaxed)
data_K2CuO2
_chemical_formula_sum 'K4 Cu2 O4'
_cell_length_a 6.041
_cell_length_b 6.041
_cell_length_c 4.264
_cell_angle_alpha 90.00
_cell_angle_beta 90.00
_cell_angle_gamma 90.00
_symmetry_space_group_name_H-M 'P 1'
_symmetry_Int_Tables_number 1
_symmetry_space_group_name_Hall 'P 1'
loop_
_atom_site_label
_atom_site_type_symbol
_atom_site_fract_x
_atom_site_fract_y
_atom_site_fract_z
O1 O 0.187 0.313 0.000
O2 O 0.687 0.187 0.000
O3 O 0.313 0.813 0.000
O4 O 0.813 0.687 0.000
Cu1 Cu 0.500 0.500 0.000
Cu2 Cu 0.000 0.000 0.000
K1 K 0.655 0.845 0.500
K2 K 0.345 0.155 0.500
K3 K 0.155 0.655 0.500
K4 K 0.845 0.345 0.500
# * uncorrected formation energy: -0.53 eV/atom
# * symmetry: P4/mbm



# K3Cu5O4 (PBE, relaxed)
data_K3Cu5O4
_chemical_formula_sum 'K12 Cu20 O16'
_cell_length_a 7.321
_cell_length_b 9.551
_cell_length_c 14.075
_cell_angle_alpha 73.21
_cell_angle_beta 90.00
_cell_angle_gamma 90.00
_symmetry_space_group_name_H-M 'P 1'
_symmetry_Int_Tables_number 1
_symmetry_space_group_name_Hall 'P 1'
loop_
_atom_site_label
_atom_site_type_symbol
_atom_site_fract_x
_atom_site_fract_y
_atom_site_fract_z
Cu1 Cu 0.666 0.937 0.744
Cu2 Cu 0.054 0.565 0.233
Cu3 Cu 0.446 0.565 0.733
Cu4 Cu 0.308 0.552 0.114
Cu5 Cu 0.587 0.063 0.116
Cu6 Cu 0.951 0.695 0.371
Cu7 Cu 0.049 0.305 0.629
Cu8 Cu 0.834 0.937 0.244
Cu9 Cu 0.554 0.435 0.267
Cu10 Cu 0.913 0.063 0.616
Cu11 Cu 0.549 0.695 0.871
Cu12 Cu 0.808 0.448 0.386
Cu13 Cu 0.413 0.937 0.884
Cu14 Cu 0.334 0.063 0.256
Cu15 Cu 0.192 0.552 0.614
Cu16 Cu 0.692 0.448 0.886
Cu17 Cu 0.451 0.305 0.129
Cu18 Cu 0.087 0.937 0.384
Cu19 Cu 0.166 0.063 0.756
Cu20 Cu 0.946 0.435 0.767
K1 K 0.727 0.732 0.081
K2 K 0.162 0.901 0.091
K3 K 0.227 0.268 0.419
K4 K 0.338 0.901 0.591
K5 K 0.418 0.673 0.396
K6 K 0.582 0.327 0.604
K7 K 0.773 0.732 0.581
K8 K 0.082 0.673 0.896
K9 K 0.273 0.268 0.919
K10 K 0.838 0.099 0.909
K11 K 0.662 0.099 0.409
K12 K 0.918 0.327 0.104
O1 O 0.952 0.483 0.630
O2 O 0.070 0.613 0.097
O3 O 0.652 0.869 0.882
O4 O 0.848 0.869 0.382
O5 O 0.452 0.517 0.870
O6 O 0.548 0.483 0.130
O7 O 0.570 0.387 0.403
O8 O 0.321 0.997 0.392
O9 O 0.152 0.131 0.618
O10 O 0.821 0.003 0.108
O11 O 0.930 0.387 0.903
O12 O 0.679 0.003 0.608
O13 O 0.348 0.131 0.118
O14 O 0.048 0.517 0.370
O15 O 0.430 0.613 0.597
O16 O 0.179 0.997 0.892
# * uncorrected formation energy: -0.87 eV/atom
# * symmetry: P2_1/c



# KCu3O (PBE, relaxed)
data_KCu3O
_chemical_formula_sum 'K1 Cu3 O1'
_cell_length_a 4.342
_cell_length_b 4.342
_cell_length_c 4.342
_cell_angle_alpha 90.00
_cell_angle_beta 90.00
_cell_angle_gamma 90.00
_symmetry_space_group_name_H-M 'P 1'
_symmetry_Int_Tables_number 1
_symmetry_space_group_name_Hall 'P 1'
loop_
_atom_site_label
_atom_site_type_symbol
_atom_site_fract_x
_atom_site_fract_y
_atom_site_fract_z
O1 O 0.000 0.000 0.000
Cu1 Cu 0.000 0.500 0.000
Cu2 Cu 0.000 0.000 0.500
Cu3 Cu 0.500 0.000 0.000
K1 K 0.500 0.500 0.500
# * uncorrected formation energy: 0.27 eV/atom
# * excess energy over the best structure of this formula in the dataset: 0.0 meV per atom
# * symmetry: Pm-3m



# K2CuO2 (PBE, relaxed)
data_K2CuO2
_chemical_formula_sum 'K4 Cu2 O4'
_cell_length_a 5.471
_cell_length_b 6.458
_cell_length_c 7.083
_cell_angle_alpha 66.20
_cell_angle_beta 67.28
_cell_angle_gamma 64.94
_symmetry_space_group_name_H-M 'P 1'
_symmetry_Int_Tables_number 1
_symmetry_space_group_name_Hall 'P 1'
loop_
_atom_site_label
_atom_site_type_symbol
_atom_site_fract_x
_atom_site_fract_y
_atom_site_fract_z
K1 K 0.031 0.697 0.241
K2 K 0.321 0.768 0.590
K3 K 0.679 0.232 0.410
K4 K 0.969 0.303 0.759
Cu1 Cu 0.632 0.854 0.883
Cu2 Cu 0.368 0.146 0.117
O1 O 0.513 0.797 0.176
O2 O 0.487 0.203 0.824
O3 O 0.203 0.231 0.363
O4 O 0.797 0.769 0.637
# * uncorrected formation energy: -1.02 eV/atom
# * symmetry: C2/m



# K3CuOs2O9 (PBE, relaxed)
data_K3CuOs2O9
_chemical_formula_sum 'K3 Cu1 Os2 O9'
_cell_length_a 5.625
_cell_length_b 5.625
_cell_length_c 7.051
_cell_angle_alpha 90.00
_cell_angle_beta 90.00
_cell_angle_gamma 120.00
_symmetry_space_group_name_H-M 'P 1'
_symmetry_Int_Tables_number 1
_symmetry_space_group_name_Hall 'P 1'
loop_
_atom_site_label
_atom_site_type_symbol
_atom_site_fract_x
_atom_site_fract_y
_atom_site_fract_z
O1 O 0.000 0.500 0.000
O2 O 0.174 0.826 0.309
O3 O 0.826 0.174 0.691
O4 O 0.174 0.348 0.309
O5 O 0.500 0.000 0.000
O6 O 0.652 0.826 0.309
O7 O 0.500 0.500 0.000
O8 O 0.826 0.652 0.691
O9 O 0.348 0.174 0.691
K1 K 0.667 0.333 0.340
K2 K 0.333 0.667 0.660
K3 K 0.000 0.000 0.000
Os1 Os 0.667 0.333 0.831
Os2 Os 0.333 0.667 0.169
Cu1 Cu 0.000 0.000 0.500
# * uncorrected formation energy: -1.17 eV/atom
# * symmetry: P-3m1



# K2CuOsO6 (PBE, relaxed)
data_K2CuOsO6
_chemical_formula_sum 'K2 Cu1 Os1 O6'
_cell_length_a 5.107
_cell_length_b 5.949
_cell_length_c 5.949
_cell_angle_alpha 120.00
_cell_angle_beta 90.00
_cell_angle_gamma 90.00
_symmetry_space_group_name_H-M 'P 1'
_symmetry_Int_Tables_number 1
_symmetry_space_group_name_Hall 'P 1'
loop_
_atom_site_label
_atom_site_type_symbol
_atom_site_fract_x
_atom_site_fract_y
_atom_site_fract_z
O1 O 0.778 0.147 0.294
O2 O 0.222 0.853 0.706
O3 O 0.222 0.294 0.147
O4 O 0.778 0.706 0.853
O5 O 0.778 0.147 0.853
O6 O 0.222 0.853 0.147
K1 K 0.273 0.333 0.667
K2 K 0.727 0.667 0.333
Cu1 Cu 0.500 0.000 0.000
Os1 Os 0.000 0.000 0.000
# * uncorrected formation energy: -1.01 eV/atom
# * symmetry: P-3m1